! Na2Sr4Ag PBE-GGA optimized geometry; values from VASP
&SYSTEM
  ibrav = 0, nat = 7, ntyp = 3
/
ATOMIC_SPECIES
Na 22.99 Na.upf
Sr 87.62 Sr.upf
Ag 107.87 Ag.upf
CELL_PARAMETERS angstrom
-1.9836 -2.3294 3.0501
5.2028 -5.4208 -0.7564
3.1395 7.0469 7.4235
ATOMIC_POSITIONS crystal
Na 0.5000 0.7016 0.5012
Na 0.5000 0.1556 0.4989
Sr 0.5000 0.1156 0.8667
Sr 0.0000 0.5482 0.7560
Sr 0.5000 0.7416 0.1334
Sr 0.0000 0.3090 0.2441
Ag 0.0000 0.9286 0.0001
! Energy of formation, eV/atom: -0.022
! Space-group type: P2/m, No. 10

! Pr4SmEr2Mg PBE-GGA optimized geometry; values from VASP
&SYSTEM
  ibrav = 0, nat = 8, ntyp = 4
/
ATOMIC_SPECIES
Pr 140.91 Pr.upf
Sm 150.36 Sm.upf
Er 167.26 Er.upf
Mg 24.30 Mg.upf
CELL_PARAMETERS angstrom
5.7982 0.0000 0.0000
0.0000 5.5506 1.7013
0.0000 3.2536 9.2004
ATOMIC_POSITIONS crystal
Pr 0.0000 0.7632 0.7366
Pr 0.0000 0.2368 0.2634
Pr 0.5000 0.7350 0.2650
Pr 0.5000 0.2650 0.7350
Sm 0.5000 0.5000 0.0000
Er 0.0000 0.0000 0.0000
Er 0.5000 0.0000 0.5000
Mg 0.0000 0.5000 0.5000
! Energy of formation, eV/atom: 0.051
! Space-group type: Pmmm, No. 47

! BC5 PBE-GGA optimized geometry; values from VASP
&SYSTEM
  ibrav = 0, nat = 12, ntyp = 2
/
ATOMIC_SPECIES
B 10.81 B.upf
C 12.01 C.upf
CELL_PARAMETERS angstrom
4.0661 0.0320 -1.8586
3.2721 2.4141 -1.8586
0.0058 0.0019 7.4473
ATOMIC_POSITIONS crystal
B 0.6642 0.6642 0.3442
B 0.8358 0.8358 0.0308
C 0.4923 0.4923 0.3812
C 0.3348 0.3348 0.1822
C 0.1652 0.1652 0.1928
C 0.0077 0.0077 0.9938
C 0.6643 0.6643 0.8244
C 0.5029 0.5029 0.8705
C 0.3347 0.3347 0.6692
C 0.1653 0.1653 0.7058
C 0.9971 0.9971 0.5045
C 0.8357 0.8357 0.5506
! Energy of formation, eV/atom: 0.234
! Space-group type: C2/m, No. 12

! Zr2SbPb PBE-GGA optimized geometry; values from VASP
&SYSTEM
  ibrav = 0, nat = 4, ntyp = 3
/
ATOMIC_SPECIES
Pb 207.20 Pb.upf
Sb 121.76 Sb.upf
Zr 91.22 Zr.upf
CELL_PARAMETERS angstrom
5.9136 0.0201 -0.0350
2.6979 5.2624 0.0350
-4.0533 -3.0528 3.0371
ATOMIC_POSITIONS crystal
Pb 0.5007 0.5007 0.0000
Sb 0.2386 0.7386 0.5000
Zr 0.0072 0.0072 0.0000
Zr 0.7535 0.2535 0.5000
! E_form (uncorrected), meV/atom: -242.4
! Space-group type: Imm2, No. 44

Number 1: mass density 2549 kg/m³. Number 2: mass density 6748 kg/m³. Number 3: mass density 3253 kg/m³. Number 4: mass density 8985 kg/m³.